MgAl2Pt: optimized geometry, GGA-PBEsol.

Lattice parameters (Å, degrees): 2.9094 2.9094 7.8396 90.00 90.00 90.00
Fractional coordinates of all 4 atoms:
Mg1 0.5000 0.5000 0.0000
Al1 0.0000 0.0000 0.2860
Al2 0.0000 0.0000 0.7140
Pt1 0.5000 0.5000 0.5000

V   16.590 Å³/atom
Crystal system   tetragonal
Spin magnetization   0.0 μB per formula unit
ΔE_f   -10.5 kcal/mol of atoms

---

MgAl2Pt: optimized geometry, GGA-PBEsol.

Lattice parameters (Å, degrees): 3.0238 3.7314 5.6121 90.00 90.00 90.00
Fractional coordinates of all 4 atoms:
Al1 0.0000 0.0000 0.9862
Al2 0.5000 0.5000 0.2383
Mg1 0.0000 0.0000 0.5065
Pt1 0.5000 0.5000 0.7690

V   15.831 Å³/atom
Crystal system   orthorhombic
Spin magnetization   0.0 μB per formula unit
ΔE_f   -11.0 kcal/mol of atoms

---

Mg2AlPt2: optimized geometry, GGA-PBEsol.

Lattice parameters (Å, degrees): 4.0607 6.4872 6.4872 90.00 90.00 90.00
Fractional coordinates of all 10 atoms:
Mg1 0.5000 0.3394 0.1606
Mg2 0.5000 0.1606 0.6606
Mg3 0.5000 0.6606 0.8394
Mg4 0.5000 0.8394 0.3394
Pt1 0.0000 0.8529 0.6471
Pt2 0.0000 0.3529 0.8529
Pt3 0.0000 0.1471 0.3529
Pt4 0.0000 0.6471 0.1471
Al1 0.0000 0.5000 0.5000
Al2 0.0000 0.0000 0.0000

V   17.089 Å³/atom
Crystal system   tetragonal
Spin magnetization   0.0 μB per formula unit
ΔE_f   -16.7 kcal/mol of atoms

---

MgAl2Pt: optimized geometry, GGA-PBEsol.

Lattice parameters (Å, degrees): 3.9585 3.9585 4.8494 114.09 114.09 90.00
Fractional coordinates of all 4 atoms:
Mg1 0.0000 0.0000 0.0000
Al1 0.5000 0.5000 0.0000
Al2 0.2500 0.7500 0.5000
Pt1 0.7500 0.2500 0.5000

V   15.513 Å³/atom
Crystal system   tetragonal
Spin magnetization   0.0 μB per formula unit
ΔE_f   -11.3 kcal/mol of atoms

---

Q: What is the V in the fourth record?
A: 15.513 Å³/atom

---

Q: Look up the spin magnetization of the fourth one.
A: 0.0 μB per formula unit

---

Q: Among the records above, which one has the lowest ΔE_f?
A: Mg2AlPt2